# 1
{
  "formula": "BaPr2Al",
  "functional": "PBE-GGA",
  "state": "relaxed",
  "cell": [[-1.476, -1.964, 2.908], [3.442, -1.422, 0.787], [1.789, 7.715, 6.117]],
  "species": ["Al", "Ba", "Pr", "Pr"],
  "frac_coords": [[0.500, 0.500, 0.000], [0.500, 0.500, 0.500], [0.000, 0.000, 0.179], [0.000, 0.000, 0.821]],
  "vol_a3_per_atom": 36.3,
  "de_polymorph_mev_per_atom": 0.0,
  "magnetic_moment_mub_per_fu": 0.00,
  "total_energy_ha_per_atom": -0.142
}

# 2
{
  "formula": "BaPrAl2",
  "functional": "PBE-GGA",
  "state": "relaxed",
  "cell": [[3.964, 0.000, 0.000], [0.000, 3.964, 0.000], [0.000, 0.000, 7.874]],
  "species": ["Ba", "Pr", "Al", "Al"],
  "frac_coords": [[0.500, 0.500, 0.500], [0.500, 0.500, 0.000], [0.000, 0.000, 0.203], [0.000, 0.000, 0.797]],
  "vol_a3_per_atom": 30.9,
  "magnetic_moment_mub_per_fu": 0.00,
  "total_energy_ha_per_atom": -0.137
}

# 3
{
  "formula": "BaPrAl4",
  "functional": "PBE-GGA",
  "state": "relaxed",
  "cell": [[-5.717, -0.696, 1.088], [-3.768, -0.665, -4.440], [-2.549, -5.196, -0.928]],
  "species": ["Ba", "Al", "Al", "Al", "Al", "Pr"],
  "frac_coords": [[0.250, 0.250, 0.250], [0.626, 0.123, 0.626], [0.123, 0.626, 0.626], [0.626, 0.626, 0.123], [0.626, 0.626, 0.626], [0.000, 0.000, 0.000]],
  "vol_a3_per_atom": 23.7,
  "magnetic_moment_mub_per_fu": 0.00,
  "total_energy_ha_per_atom": -0.144
}

# 4
{
  "formula": "BaPr2Al",
  "functional": "PBE-GGA",
  "state": "relaxed",
  "cell": [[-2.169, -3.036, -0.819], [-0.616, -2.679, 2.653], [-10.624, 4.019, 4.341]],
  "species": ["Ba", "Al", "Pr", "Pr"],
  "frac_coords": [[0.000, 0.000, 0.000], [0.500, 0.500, 0.500], [0.105, 0.105, 0.684], [0.895, 0.895, 0.316]],
  "vol_a3_per_atom": 37.8,
  "de_polymorph_mev_per_atom": 170.3,
  "magnetic_moment_mub_per_fu": 0.00,
  "total_energy_ha_per_atom": -0.136
}

# 5
{
  "formula": "BaPrAlS4",
  "functional": "PBE-GGA",
  "state": "relaxed",
  "cell": [[-4.746, 4.607, 0.994], [-4.746, -4.638, -1.166], [1.702, -3.642, 7.557]],
  "species": ["Ba", "Ba", "S", "S", "S", "S", "S", "S", "S", "S", "Pr", "Pr", "Al", "Al"],
  "frac_coords": [[0.734, 0.750, 0.933], [0.266, 0.250, 0.067], [0.000, 0.004, 0.272], [0.000, 0.496, 0.272], [0.000, 0.996, 0.728], [0.000, 0.504, 0.728], [0.572, 0.250, 0.421], [0.575, 0.250, 0.854], [0.428, 0.750, 0.579], [0.425, 0.750, 0.146], [0.777, 0.750, 0.448], [0.223, 0.250, 0.552], [0.230, 0.750, 0.318], [0.770, 0.250, 0.682]],
  "vol_a3_per_atom": 26.3,
  "magnetic_moment_mub_per_fu": 0.00,
  "total_energy_ha_per_atom": -0.207,
  "e_form_raw_ev_per_atom": -1.7811
}

# 6
{
  "formula": "Ba2PrAlS5",
  "functional": "PBE-GGA",
  "state": "relaxed",
  "cell": [[4.135, 0.000, 0.000], [-2.068, 9.171, 0.000], [0.000, 0.000, 13.261]],
  "species": ["Ba", "Ba", "Ba", "Ba", "S", "S", "S", "S", "S", "S", "S", "S", "S", "S", "Al", "Al", "Pr", "Pr"],
  "frac_coords": [[0.117, 0.233, 0.685], [0.873, 0.747, 0.835], [0.127, 0.253, 0.335], [0.883, 0.767, 0.185], [0.324, 0.647, 0.380], [0.297, 0.595, 0.676], [0.964, 0.928, 0.508], [0.349, 0.699, 0.012], [0.497, 0.994, 0.774], [0.503, 0.006, 0.274], [0.036, 0.072, 0.008], [0.676, 0.353, 0.880], [0.703, 0.405, 0.176], [0.651, 0.301, 0.512], [0.445, 0.890, 0.420], [0.555, 0.110, 0.920], [0.799, 0.598, 0.533], [0.201, 0.402, 0.033]],
  "vol_a3_per_atom": 27.9,
  "magnetic_moment_mub_per_fu": 0.00,
  "total_energy_ha_per_atom": -0.202,
  "e_form_raw_ev_per_atom": -1.8326
}

# 7
{
  "formula": "Ba2PrAl2Sb4",
  "functional": "PBE-GGA",
  "state": "relaxed",
  "cell": [[4.738, 0.000, 0.000], [0.000, 8.107, 0.237], [-2.369, -2.985, 7.765]],
  "species": ["Al", "Al", "Sb", "Sb", "Sb", "Sb", "Ba", "Ba", "Pr"],
  "frac_coords": [[0.326, 0.005, 0.653], [0.674, 0.995, 0.347], [0.481, 0.259, 0.963], [0.519, 0.741, 0.037], [0.209, 0.189, 0.417], [0.791, 0.811, 0.583], [0.131, 0.568, 0.261], [0.869, 0.432, 0.739], [0.000, 0.000, 0.000]],
  "vol_a3_per_atom": 33.5,
  "magnetic_moment_mub_per_fu": 0.00,
  "total_energy_ha_per_atom": -0.160,
  "e_form_raw_ev_per_atom": -0.7261
}

# 8
{
  "formula": "BaPrAlSe4",
  "functional": "PBE-GGA",
  "state": "relaxed",
  "cell": [[6.959, 0.000, 0.017], [0.000, 7.056, 0.000], [-2.705, 0.000, 8.449]],
  "species": ["Pr", "Pr", "Se", "Se", "Se", "Se", "Se", "Se", "Se", "Se", "Al", "Al", "Ba", "Ba"],
  "frac_coords": [[0.773, 0.750, 0.446], [0.227, 0.250, 0.554], [0.569, 0.250, 0.414], [0.993, 0.492, 0.270], [0.007, 0.508, 0.730], [0.431, 0.750, 0.586], [0.993, 0.008, 0.270], [0.577, 0.250, 0.861], [0.007, 0.992, 0.730], [0.423, 0.750, 0.139], [0.772, 0.250, 0.682], [0.228, 0.750, 0.318], [0.256, 0.250, 0.064], [0.744, 0.750, 0.936]],
  "vol_a3_per_atom": 29.7,
  "magnetic_moment_mub_per_fu": 0.00,
  "total_energy_ha_per_atom": -0.187,
  "e_form_raw_ev_per_atom": -1.6123
}

# 9
{
  "formula": "Ba2PrAlSe5",
  "functional": "PBE-GGA",
  "state": "relaxed",
  "cell": [[-2.701, -3.240, -0.811], [6.387, -4.048, 6.272], [-7.849, 3.911, 10.517]],
  "species": ["Pr", "Pr", "Al", "Al", "Se", "Se", "Se", "Se", "Se", "Se", "Se", "Se", "Se", "Se", "Ba", "Ba", "Ba", "Ba"],
  "frac_coords": [[0.798, 0.597, 0.532], [0.202, 0.403, 0.032], [0.443, 0.886, 0.421], [0.557, 0.114, 0.921], [0.502, 0.004, 0.270], [0.498, 0.996, 0.770], [0.681, 0.361, 0.875], [0.701, 0.403, 0.178], [0.299, 0.597, 0.678], [0.319, 0.639, 0.375], [0.963, 0.926, 0.516], [0.037, 0.074, 0.016], [0.649, 0.298, 0.512], [0.351, 0.702, 0.012], [0.876, 0.752, 0.835], [0.124, 0.248, 0.335], [0.119, 0.239, 0.687], [0.881, 0.761, 0.187]],
  "vol_a3_per_atom": 31.3,
  "magnetic_moment_mub_per_fu": 0.00,
  "total_energy_ha_per_atom": -0.185,
  "e_form_raw_ev_per_atom": -1.7127
}

# 10
{
  "formula": "BaPrAlTe4",
  "functional": "PBE-GGA",
  "state": "relaxed",
  "cell": [[-6.826, -2.036, 2.161], [0.235, -5.917, -4.833], [6.127, -4.332, 5.602]],
  "species": ["Te", "Te", "Te", "Te", "Te", "Te", "Te", "Te", "Pr", "Pr", "Ba", "Ba", "Al", "Al"],
  "frac_coords": [[0.579, 0.250, 0.871], [0.989, 0.490, 0.271], [0.563, 0.250, 0.403], [0.011, 0.990, 0.729], [0.421, 0.750, 0.129], [0.437, 0.750, 0.597], [0.989, 0.010, 0.271], [0.011, 0.510, 0.729], [0.234, 0.250, 0.558], [0.766, 0.750, 0.442], [0.763, 0.750, 0.943], [0.237, 0.250, 0.057], [0.770, 0.250, 0.680], [0.230, 0.750, 0.320]],
  "vol_a3_per_atom": 36.3,
  "magnetic_moment_mub_per_fu": 0.00,
  "total_energy_ha_per_atom": -0.164,
  "e_form_raw_ev_per_atom": -1.1794
}

# 11
{
  "formula": "Ba3AlPt",
  "functional": "PBE-GGA",
  "state": "relaxed",
  "cell": [[-0.221, 2.165, -5.719], [5.217, -2.920, -1.307], [-3.191, -4.923, -1.740]],
  "species": ["Al", "Ba", "Ba", "Ba", "Pt"],
  "frac_coords": [[0.500, 0.500, 0.500], [0.000, 0.000, 0.500], [0.000, 0.500, 0.000], [0.500, 0.000, 0.000], [0.000, 0.000, 0.000]],
  "vol_a3_per_atom": 45.8,
  "de_polymorph_mev_per_atom": 0.0,
  "magnetic_moment_mub_per_fu": 0.98,
  "total_energy_ha_per_atom": -0.122
}

# 12
{
  "formula": "Ba2Al2Pt",
  "functional": "PBE-GGA",
  "state": "relaxed",
  "cell": [[-0.253, -6.041, -3.231], [6.791, 0.204, -0.912], [0.748, -2.690, 4.970]],
  "species": ["Pt", "Pt", "Al", "Al", "Al", "Al", "Ba", "Ba", "Ba", "Ba"],
  "frac_coords": [[0.500, 0.500, 0.000], [0.000, 0.000, 0.000], [0.146, 0.354, 0.000], [0.854, 0.646, 0.000], [0.646, 0.146, 0.000], [0.354, 0.854, 0.000], [0.321, 0.179, 0.500], [0.679, 0.821, 0.500], [0.179, 0.679, 0.500], [0.821, 0.321, 0.500]],
  "vol_a3_per_atom": 26.8,
  "de_polymorph_mev_per_atom": 298.1,
  "magnetic_moment_mub_per_fu": 0.00,
  "total_energy_ha_per_atom": -0.138
}